Record 1
LiCuSe2 | PBE | optimized geometry

Summary:
**Size of the total moment**: 0.00 μB per cell
**Density of states at the Fermi level**: 2.10 states/eV/f.u.
**Formation energy without anion corrections**: -180 meV/atom

a b c (Å): 3.0890 3.0890 7.2877
angles (deg): 90.00 90.00 90.00
Element x y z (fractional)
1 Li 0.0000 0.0000 0.0000
2 Cu 0.0000 0.0000 0.5000
3 Se 0.5000 0.5000 0.2603
4 Se 0.5000 0.5000 0.7397



Record 2
LiCuSe2 | PBE | optimized geometry

Summary:
**Size of the total moment**: 0.00 μB per cell
**Density of states at the Fermi level**: 3.53 states/eV/f.u.
**Formation energy without anion corrections**: -364 meV/atom

a b c (Å): 3.6443 3.6443 5.1924
angles (deg): 90.00 90.00 90.00
Element x y z (fractional)
1 Li 0.0000 0.0000 0.0000
2 Cu 0.5000 0.5000 0.5000
3 Se 0.0000 0.0000 0.5000
4 Se 0.5000 0.5000 0.0000



Record 3
LiCu2Se | PBE | optimized geometry

Summary:
**Size of the total moment**: 0.00 μB per cell
**Density of states at the Fermi level**: 2.23 states/eV/f.u.
**Formation energy without anion corrections**: -64 meV/atom

a b c (Å): 3.3705 3.3705 5.1212
angles (deg): 90.00 90.00 90.00
Element x y z (fractional)
1 Li 0.0000 0.0000 0.0000
2 Cu 0.5000 0.5000 0.2472
3 Cu 0.5000 0.5000 0.7528
4 Se 0.0000 0.0000 0.5000



Record 4
LiCu3Se | PBE | optimized geometry

Summary:
**Size of the total moment**: 0.00 μB per cell
**Density of states at the Fermi level**: 2.12 states/eV/f.u.
**Formation energy without anion corrections**: 399 meV/atom
**Distance to the lowest polymorph of the same formula**: 0.000 eV per atom

a b c (Å): 4.6406 4.6406 4.6406
angles (deg): 90.00 90.00 90.00
Element x y z (fractional)
1 Li 0.0000 0.0000 0.0000
2 Cu 0.0000 0.5000 0.5000
3 Cu 0.5000 0.0000 0.5000
4 Cu 0.5000 0.5000 0.0000
5 Se 0.5000 0.5000 0.5000



Record 5
Li2CuSe | PBE | optimized geometry

Summary:
**Size of the total moment**: 0.00 μB per cell
**Density of states at the Fermi level**: 1.23 states/eV/f.u.
**Formation energy without anion corrections**: -207 meV/atom

a b c (Å): 7.5953 7.5953 7.5953
angles (deg): 24.97 24.97 24.97
Element x y z (fractional)
1 Li 0.2440 0.2440 0.2440
2 Li 0.7560 0.7560 0.7560
3 Cu 0.0000 0.0000 0.0000
4 Se 0.5000 0.5000 0.5000



Record 6
Li3CuSe | PBE | optimized geometry

Summary:
**Size of the total moment**: 0.00 μB per cell
**Density of states at the Fermi level**: 0.00 states/eV/f.u.
**Formation energy without anion corrections**: -399 meV/atom
**Distance to the lowest polymorph of the same formula**: 0.000 eV per atom

a b c (Å): 4.8036 4.8036 4.8036
angles (deg): 90.00 90.00 90.00
Element x y z (fractional)
1 Li 0.0000 0.0000 0.5000
2 Li 0.0000 0.5000 0.0000
3 Li 0.5000 0.0000 0.0000
4 Cu 0.5000 0.5000 0.5000
5 Se 0.0000 0.0000 0.0000



Record 7
LiCuSe2 | PBE | optimized geometry

Summary:
**Size of the total moment**: 0.00 μB per cell
**Density of states at the Fermi level**: 1.86 states/eV/f.u.
**Formation energy without anion corrections**: -452 meV/atom

a b c (Å): 7.1542 7.1542 7.1542
angles (deg): 138.48 138.18 60.40
Element x y z (fractional)
1 Li 0.3745 0.1245 0.2500
2 Li 0.6255 0.8755 0.7500
3 Cu 0.1243 0.3743 0.7500
4 Cu 0.8757 0.6257 0.2500
5 Se 0.0678 0.8178 0.2500
6 Se 0.3163 0.5663 0.7500
7 Se 0.6837 0.4337 0.2500
8 Se 0.9322 0.1822 0.7500



Record 8
LiCuSe2 | PBE | optimized geometry

Summary:
**Size of the total moment**: 0.00 μB per cell
**Density of states at the Fermi level**: 1.53 states/eV/f.u.
**Formation energy without anion corrections**: -292 meV/atom

a b c (Å): 4.0111 4.0111 6.0483
angles (deg): 90.00 90.00 120.99
Element x y z (fractional)
1 Li 0.0000 0.0000 0.0000
2 Cu 0.0000 0.0000 0.5000
3 Se 0.5000 0.5000 0.2620
4 Se 0.5000 0.5000 0.7380



Record 9
Li2CuSe | PBE | optimized geometry

Summary:
**Size of the total moment**: 0.00 μB per cell
**Density of states at the Fermi level**: 0.18 states/eV/f.u.
**Formation energy without anion corrections**: -335 meV/atom

a b c (Å): 3.8879 3.8879 6.6397
angles (deg): 97.18 97.18 41.95
Element x y z (fractional)
1 Li 0.2444 0.2444 0.2322
2 Li 0.7556 0.7556 0.7678
3 Cu 0.0000 0.0000 0.5000
4 Se 0.5000 0.5000 0.0000



Record 10
LiCu2Se | PBE | optimized geometry

Summary:
**Size of the total moment**: 0.00 μB per cell
**Density of states at the Fermi level**: 0.78 states/eV/f.u.
**Formation energy without anion corrections**: 190 meV/atom

a b c (Å): 2.6879 2.6879 8.4846
angles (deg): 90.00 90.00 97.23
Element x y z (fractional)
1 Li 0.0000 0.0000 0.0000
2 Cu 0.5000 0.5000 0.2276
3 Cu 0.5000 0.5000 0.7724
4 Se 0.0000 0.0000 0.5000



Record 11
LiCu2Se | PBE | optimized geometry

Summary:
**Size of the total moment**: 0.00 μB per cell
**Density of states at the Fermi level**: 0.61 states/eV/f.u.
**Formation energy without anion corrections**: 191 meV/atom

a b c (Å): 2.6916 2.6916 8.4050
angles (deg): 90.00 90.00 90.00
Element x y z (fractional)
1 Li 0.0000 0.0000 0.0000
2 Cu 0.5000 0.5000 0.2257
3 Cu 0.5000 0.5000 0.7743
4 Se 0.0000 0.0000 0.5000



Record 12
LiCuSe2 | PBE | optimized geometry

Summary:
**Size of the total moment**: 0.00 μB per cell
**Density of states at the Fermi level**: 1.04 states/eV/f.u.
**Formation energy without anion corrections**: -410 meV/atom

a b c (Å): 5.8929 5.8929 5.8929
angles (deg): 38.86 38.86 38.86
Element x y z (fractional)
1 Li 0.0000 0.0000 0.0000
2 Cu 0.8302 0.8302 0.8302
3 Se 0.2430 0.2430 0.2430
4 Se 0.4165 0.4165 0.4165



Record 13
LiCu2Se | PBE | optimized geometry

Summary:
**Size of the total moment**: 0.00 μB per cell
**Density of states at the Fermi level**: 0.95 states/eV/f.u.
**Formation energy without anion corrections**: -142 meV/atom

a b c (Å): 3.3567 3.3567 5.1183
angles (deg): 90.00 90.00 90.00
Element x y z (fractional)
1 Li 0.0000 0.0000 0.0000
2 Cu 0.0000 0.0000 0.5046
3 Cu 0.5000 0.5000 0.7199
4 Se 0.5000 0.5000 0.2235



Record 14
Li2CuSe | PBE | optimized geometry

Summary:
**Size of the total moment**: 0.00 μB per cell
**Density of states at the Fermi level**: 2.41 states/eV/f.u.
**Formation energy without anion corrections**: -360 meV/atom

a b c (Å): 4.4603 4.4603 4.4603
angles (deg): 60.00 60.00 60.00
Element x y z (fractional)
1 Li 0.0000 0.0000 0.0000
2 Li 0.2500 0.2500 0.2500
3 Cu 0.7500 0.7500 0.7500
4 Se 0.5000 0.5000 0.5000



Record 15
LiCuSe2 | PBE | optimized geometry

Summary:
**Size of the total moment**: 0.00 μB per cell
**Density of states at the Fermi level**: 2.44 states/eV/f.u.
**Formation energy without anion corrections**: -352 meV/atom

a b c (Å): 6.4991 6.4991 6.4991
angles (deg): 124.83 124.83 81.82
Element x y z (fractional)
1 Li 0.0000 0.0000 0.0000
2 Li 0.7500 0.2500 0.5000
3 Cu 0.2500 0.7500 0.5000
4 Cu 0.5000 0.5000 0.0000
5 Se 0.1554 0.6250 0.0304
6 Se 0.3750 0.4054 0.5304
7 Se 0.5946 0.1250 0.9696
8 Se 0.8750 0.8446 0.4696



Record 16
LiCu2Se | PBE | optimized geometry

Summary:
**Size of the total moment**: 0.00 μB per cell
**Density of states at the Fermi level**: 0.86 states/eV/f.u.
**Formation energy without anion corrections**: -10 meV/atom

a b c (Å): 2.7416 2.7416 8.3274
angles (deg): 90.00 90.00 90.14
Element x y z (fractional)
1 Li 0.0000 0.0000 0.0000
2 Cu 0.0000 0.0000 0.5698
3 Cu 0.5000 0.5000 0.7607
4 Se 0.5000 0.5000 0.2307



Record 17
LiCu2Se | PBE | optimized geometry

Summary:
**Size of the total moment**: 0.00 μB per cell
**Density of states at the Fermi level**: 1.22 states/eV/f.u.
**Formation energy without anion corrections**: -149 meV/atom

a b c (Å): 2.7845 4.4645 4.7725
angles (deg): 90.00 97.85 90.00
Element x y z (fractional)
1 Li 0.0000 0.0000 0.0000
2 Cu 0.3486 0.5000 0.2260
3 Cu 0.6514 0.5000 0.7740
4 Se 0.5000 0.0000 0.5000



Record 18
Li2CuSiSe4 | PBE | optimized geometry

Summary:
**Size of the total moment**: 0.08 μB per cell
**Density of states at the Fermi level**: 9.80 states/eV/f.u.
**Formation energy without anion corrections**: -651 meV/atom

a b c (Å): 5.8957 5.9063 6.6984
angles (deg): 116.13 116.06 90.01
Element x y z (fractional)
1 Li 0.0000 0.0000 0.0000
2 Li 0.2500 0.7496 0.5004
3 Cu 0.5000 0.5013 0.0015
4 Si 0.7503 0.2504 0.5008
5 Se 0.1111 0.1564 0.7492
6 Se 0.4070 0.8904 0.2522
7 Se 0.6385 0.5934 0.7497
8 Se 0.8441 0.3619 0.2514



Record 19
LiCuSi2Se | PBE | optimized geometry

Summary:
**Size of the total moment**: 0.00 μB per cell
**Density of states at the Fermi level**: 2.21 states/eV/f.u.
**Formation energy without anion corrections**: 272 meV/atom

a b c (Å): 4.4130 4.4130 4.8487
angles (deg): 90.00 90.00 90.00
Element x y z (fractional)
1 Li 0.0000 0.0000 0.0000
2 Cu 0.0000 0.0000 0.5000
3 Si 0.0000 0.5000 0.5000
4 Si 0.5000 0.0000 0.5000
5 Se 0.5000 0.5000 0.0000



Record 20
LiCuSnSe3 | PBE | optimized geometry

Summary:
**Size of the total moment**: 0.00 μB per cell
**Density of states at the Fermi level**: 1.36 states/eV/f.u.
**Formation energy without anion corrections**: -488 meV/atom

a b c (Å): 7.8694 3.9835 9.3844
angles (deg): 90.00 104.09 90.00
Element x y z (fractional)
1 Li 0.1538 0.2500 0.1307
2 Li 0.8462 0.7500 0.8693
3 Cu 0.0734 0.2500 0.5655
4 Cu 0.9266 0.7500 0.4345
5 Sn 0.3287 0.7500 0.8430
6 Sn 0.6713 0.2500 0.1570
7 Se 0.0755 0.2500 0.8385
8 Se 0.2474 0.7500 0.5460
9 Se 0.4091 0.7500 0.1458
10 Se 0.5909 0.2500 0.8542
11 Se 0.7526 0.2500 0.4540
12 Se 0.9245 0.7500 0.1615



Record 21
Li3CuSn3Se8 | PBE | optimized geometry

Summary:
**Size of the total moment**: 0.00 μB per cell
**Density of states at the Fermi level**: 8.25 states/eV/f.u.
**Formation energy without anion corrections**: -530 meV/atom

a b c (Å): 7.9745 7.9745 7.9745
angles (deg): 58.17 58.17 58.17
Element x y z (fractional)
1 Li 0.0000 0.5000 0.5000
2 Li 0.5000 0.0000 0.5000
3 Li 0.5000 0.5000 0.0000
4 Cu 0.5000 0.5000 0.5000
5 Sn 0.0000 0.0000 0.5000
6 Sn 0.0000 0.5000 0.0000
7 Sn 0.5000 0.0000 0.0000
8 Se 0.2524 0.2524 0.2524
9 Se 0.2661 0.2661 0.7339
10 Se 0.2661 0.7339 0.2661
11 Se 0.2661 0.7339 0.7339
12 Se 0.7339 0.2661 0.2661
13 Se 0.7339 0.2661 0.7339
14 Se 0.7339 0.7339 0.2661
15 Se 0.7476 0.7476 0.7476



Record 22
SrLiCuSe2 | PBE | optimized geometry

Summary:
**Size of the total moment**: 0.00 μB per cell
**Formation energy without anion corrections**: -1130 meV/atom

a b c (Å): 7.5033 7.5033 5.5966
angles (deg): 90.00 90.00 134.72
Element x y z (fractional)
1 Sr 0.2500 0.7500 0.7599
2 Sr 0.7500 0.2500 0.2401
3 Li 0.2500 0.2500 0.5000
4 Li 0.7500 0.7500 0.5000
5 Cu 0.0000 0.0000 0.0000
6 Cu 0.5000 0.5000 0.0000
7 Se 0.1269 0.8731 0.2616
8 Se 0.3731 0.6269 0.2616
9 Se 0.6269 0.3731 0.7384
10 Se 0.8731 0.1269 0.7384



Record 23
SrLiCu2Se | PBE | optimized geometry

Summary:
**Size of the total moment**: 0.00 μB per cell
**Density of states at the Fermi level**: 3.84 states/eV/f.u.
**Formation energy without anion corrections**: 527 meV/atom

a b c (Å): 5.5838 5.5838 5.7632
angles (deg): 90.00 90.00 90.00
Element x y z (fractional)
1 Sr 0.0000 0.0000 0.0000
2 Li 0.5000 0.5000 0.5000
3 Cu 0.0000 0.5000 0.0000
4 Cu 0.5000 0.0000 0.0000
5 Se 0.0000 0.0000 0.5000



Record 24
Sr2LiCuSe | PBE | optimized geometry

Summary:
**Size of the total moment**: 0.00 μB per cell
**Density of states at the Fermi level**: 4.66 states/eV/f.u.
**Formation energy without anion corrections**: -509 meV/atom

a b c (Å): 5.9469 5.9469 4.6658
angles (deg): 90.00 90.00 90.00
Element x y z (fractional)
1 Sr 0.0000 0.5000 0.0000
2 Sr 0.5000 0.0000 0.0000
3 Li 0.0000 0.0000 0.5000
4 Cu 0.5000 0.5000 0.5000
5 Se 0.0000 0.0000 0.0000



Record 25
Li2Ta2CuSe6 | PBE | optimized geometry

Summary:
**Size of the total moment**: 0.77 μB per cell
**Density of states at the Fermi level**: 3.94 states/eV/f.u.
**Formation energy without anion corrections**: -712 meV/atom

a b c (Å): 6.4530 6.4530 6.7271
angles (deg): 97.87 97.87 120.58
Element x y z (fractional)
1 Li 0.1856 0.8144 0.0000
2 Li 0.8144 0.1856 0.0000
3 Ta 0.3563 0.6437 0.5000
4 Ta 0.6437 0.3563 0.5000
5 Cu 0.0000 0.0000 0.5000
6 Se 0.0546 0.4010 0.7195
7 Se 0.2703 0.2703 0.2362
8 Se 0.4010 0.0546 0.7195
9 Se 0.5990 0.9454 0.2805
10 Se 0.7297 0.7297 0.7638
11 Se 0.9454 0.5990 0.2805



Record 26
LiTb2CuSe4 | PBE | optimized geometry

Summary:
**Size of the total moment**: 0.00 μB per cell
**Formation energy without anion corrections**: -1375 meV/atom

a b c (Å): 6.8149 4.0543 7.1090
angles (deg): 90.00 112.22 90.00
Element x y z (fractional)
1 Li 0.0000 0.0000 0.0000
2 Tb 0.5000 0.0000 0.5000
3 Tb 0.5000 0.5000 0.0000
4 Cu 0.0000 0.5000 0.5000
5 Se 0.2324 0.0000 0.7345
6 Se 0.2419 0.5000 0.2398
7 Se 0.7581 0.5000 0.7602
8 Se 0.7676 0.0000 0.2655